<1>
A plane-wave DFT calculation with PBE was carried out for an optimized crystal structure of Tl2CdTe.

a b c (Å): 8.0074 6.2261 3.3160
angles (deg): 89.72 66.01 122.33
Fractional positions:
1 Tl 0.0000 0.0000 0.0000
2 Tl 0.5000 0.0000 0.5000
3 Te 0.5000 0.5000 0.0000
4 Cd 0.0000 0.5000 0.5000


<2>
A plane-wave DFT calculation with PBE was carried out for an optimized crystal structure of Tl2CdTe.

a b c (Å): 4.0127 4.0132 7.6330
angles (deg): 90.00 90.00 90.00
Fractional positions:
1 Tl 0.0000 0.0000 0.9738
2 Tl 0.5000 0.5000 0.2861
3 Te 0.5000 0.5000 0.7215
4 Cd 0.0000 0.0000 0.5186


<3>
A plane-wave DFT calculation with PBE was carried out for an optimized crystal structure of Tl2CdTe.

a b c (Å): 10.9285 10.9285 10.9285
angles (deg): 19.24 19.24 19.24
Fractional positions:
1 Tl 0.0020 0.0020 0.0020
2 Tl 0.4980 0.4980 0.4980
3 Cd 0.2500 0.2500 0.2500
4 Te 0.7500 0.7500 0.7500


What should be chosen as the least stable of them? Choose <3>.


<1>
A plane-wave DFT calculation with PBE was carried out for an optimized crystal structure of Tl2CdTe.

a b c (Å): 4.0242 4.0242 7.7523
angles (deg): 90.00 90.00 89.96
Fractional positions:
1 Te 0.5000 0.5000 0.7500
2 Tl 0.0000 0.0000 0.5087
3 Tl 0.0000 0.0000 0.9913
4 Cd 0.5000 0.5000 0.2500


<2>
A plane-wave DFT calculation with PBE was carried out for an optimized crystal structure of Tl2CdTe.

a b c (Å): 6.3881 6.3881 6.3881
angles (deg): 141.06 129.12 65.87
Fractional positions:
1 Te 0.2721 0.7721 0.5000
2 Tl 0.0148 0.0148 0.0000
3 Tl 0.7361 0.2361 0.5000
4 Cd 0.4769 0.4769 0.0000


<3>
A plane-wave DFT calculation with PBE was carried out for an optimized crystal structure of Tl2CdTe.

a b c (Å): 6.6196 6.6196 6.6196
angles (deg): 139.80 139.66 58.26
Fractional positions:
1 Tl 0.0040 0.0040 0.0000
2 Tl 0.4960 0.4960 0.0000
3 Te 0.2500 0.7500 0.5000
4 Cd 0.7500 0.2500 0.5000


What should be chosen as the least stable of them? Choose <1>.


<1>
A plane-wave DFT calculation with PBE was carried out for an optimized crystal structure of TlCdTe3.

a b c (Å): 5.7939 5.7939 5.7939
angles (deg): 90.00 90.00 90.00
Fractional positions:
1 Cd 0.5000 0.5000 0.5000
2 Te 0.5000 0.0000 0.0000
3 Te 0.0000 0.0000 0.5000
4 Te 0.0000 0.5000 0.0000
5 Tl 0.0000 0.0000 0.0000


<2>
A plane-wave DFT calculation with PBE was carried out for an optimized crystal structure of TlCdTe3.

a b c (Å): 5.6818 5.6818 5.6818
angles (deg): 90.00 90.00 90.00
Fractional positions:
1 Cd 0.0000 0.0000 0.0000
2 Tl 0.5000 0.5000 0.5000
3 Te 0.0000 0.0000 0.5000
4 Te 0.5000 0.0000 0.0000
5 Te 0.0000 0.5000 0.0000


What should be chosen as the least stable of them? Choose <1>.


<1>
A plane-wave DFT calculation with PBE was carried out for an optimized crystal structure of CdTeW.

a b c (Å): 4.6140 4.6140 4.6140
angles (deg): 60.00 60.00 60.00
Fractional positions:
1 Te 0.5000 0.5000 0.5000
2 Cd 0.0000 0.0000 0.0000
3 W 0.2500 0.2500 0.2500


<2>
A plane-wave DFT calculation with PBE was carried out for an optimized crystal structure of CdTeW.

a b c (Å): 4.6295 4.6295 4.6295
angles (deg): 60.00 60.00 60.00
Fractional positions:
1 W 0.0000 0.0000 0.0000
2 Cd 0.5000 0.5000 0.5000
3 Te 0.2500 0.2500 0.2500


<3>
A plane-wave DFT calculation with PBE was carried out for an optimized crystal structure of CdTeW.

a b c (Å): 4.9950 4.9950 2.8771
angles (deg): 90.00 90.00 120.00
Fractional positions:
1 Cd 0.0000 0.0000 0.9998
2 Te 0.6667 0.3333 0.5003
3 W 0.3333 0.6667 0.4999


What should be chosen as the least stable of them? Choose <2>.


<1>
A plane-wave DFT calculation with PBE was carried out for an optimized crystal structure of CdTeW.

a b c (Å): 3.2958 3.2958 7.2288
angles (deg): 90.00 90.00 120.00
Fractional positions:
1 W 0.6667 0.3333 0.6501
2 Cd 0.0000 0.0000 0.9608
3 Te 0.3333 0.6667 0.3892


<2>
A plane-wave DFT calculation with PBE was carried out for an optimized crystal structure of CdTeW.

a b c (Å): 7.0305 7.0305 7.0305
angles (deg): 153.37 153.37 38.02
Fractional positions:
1 Cd 0.0331 0.0331 0.0000
2 Te 0.2927 0.2927 0.0000
3 W 0.6742 0.6742 0.0000


What should be chosen as the least stable of them? Choose <2>.


<1>
A plane-wave DFT calculation with PBE was carried out for an optimized crystal structure of Cd2TeW2.

a b c (Å): 8.7417 8.7417 2.8529
angles (deg): 90.00 90.00 90.00
Fractional positions:
1 Cd 0.1887 0.3113 0.0000
2 Cd 0.8113 0.6887 0.0000
3 Cd 0.6887 0.1887 0.0000
4 Cd 0.3113 0.8113 0.0000
5 W 0.5998 0.9002 0.5000
6 W 0.0998 0.5998 0.5000
7 W 0.4002 0.0998 0.5000
8 W 0.9002 0.4002 0.5000
9 Te 0.0000 0.0000 0.0000
10 Te 0.5000 0.5000 0.0000


<2>
A plane-wave DFT calculation with PBE was carried out for an optimized crystal structure of Cd2TeW2.

a b c (Å): 3.6339 3.6339 9.1839
angles (deg): 78.59 78.59 90.00
Fractional positions:
1 Te 0.0000 0.0000 0.0000
2 Cd 0.3873 0.3873 0.2253
3 Cd 0.6127 0.6127 0.7747
4 W 0.7500 0.2500 0.5000
5 W 0.2500 0.7500 0.5000


What should be chosen as the least stable of them? Choose <1>.